Below is Cd12Ag6Au after structural relaxation, with properties calculated at the GGA-PBE level.

The space group is R-3 (No. 148, hexagonal axes) and the conventional cell measures 10.2423, 10.2423 and 13.4337 Å, with angles of 90.00, 90.00 and 120.00 degrees. Symmetry generates all atoms from Cd at (0.0578, 0.1883, 0.3902), Cd at (0.0927, 0.8835, 0.1605), Ag at (0.0066, 0.5474, 0.6214) and Au at (0.0000, 0.0000, 0.0000).

The energy relative to the elements is 0.06 eV/f.u. As for the energy above the most stable polymorph in this dataset: 55 meV per atom. The density of states at the Fermi level is 0.313 states/eV/atom.


Below is Ta2TeAs after structural relaxation, with properties calculated at the GGA-PBE level.

The space group is Imm2 (No. 44) and the conventional cell measures 3.3115, 4.5859 and 10.4144 Å, with angles of 90.00, 90.00 and 90.00 degrees. Symmetry generates all atoms from Ta at (0.0000, 0.0000, 0.0000), Ta at (0.0000, 0.5000, 0.2025), Te at (0.0000, 0.5000, 0.7249) and As at (0.0000, 0.0000, 0.5041).

The formation energy without anion corrections is 115.3 meV per atom. The density of states at the Fermi level is 0.543 states/eV/atom.


Below is Ho2Mg2Ni15 after structural relaxation, with properties calculated at the GGA-PBE level.

The space group is R-3m (No. 166, hexagonal axes) and the conventional cell measures 8.3591, 8.3591 and 12.3116 Å, with angles of 90.00, 90.00 and 120.00 degrees. Symmetry generates all atoms from Ho at (0.0000, 0.0000, 0.1485), Mg at (0.0000, 0.0000, 0.3968), Ni at (0.0000, 0.3037, 0.5000), Ni at (0.0000, 0.5000, 0.0000) and Ni at (0.0038, 0.5019, 0.6558).

The energy relative to the elements is -4.57 eV/f.u. The density of states at the Fermi level is 1.189 states/eV/atom.


Below is Ta14NbSb after structural relaxation, with properties calculated at the GGA-PBE level.

The space group is Cmmm (No. 65) and the conventional cell measures 6.6349, 9.4379 and 9.4184 Å, with angles of 90.00, 90.00 and 90.00 degrees. Symmetry generates all atoms from Ta at (0.0000, 0.0000, 0.0000), Ta at (0.0000, 0.2479, 0.2489), Ta at (0.0000, 0.5000, 0.0000), Ta at (0.2416, 0.5000, 0.2455), Ta at (0.2500, 0.2500, 0.0000), Ta at (0.2500, 0.2500, 0.5000), Nb at (0.0000, 0.5000, 0.5000) and Sb at (0.0000, 0.0000, 0.5000).

The formation energy without anion corrections is -10.4 meV per atom. The density of states at the Fermi level is 1.207 states/eV/atom.


Below is TaTi3Al2 after structural relaxation, with properties calculated at the GGA-PBE level.

The space group is Immm (No. 71) and the conventional cell measures 2.7632, 4.9761 and 15.5001 Å, with angles of 90.00, 90.00 and 90.00 degrees. Symmetry generates all atoms from Ta at (0.0000, 0.0000, 0.0000), Ti at (0.0000, 0.0000, 0.1763), Ti at (0.0000, 0.5000, 0.0000) and Al at (0.0000, 0.0000, 0.3487).

The energy relative to the elements is 1.56 eV/f.u. As for the energy above the most stable polymorph in this dataset: 387 meV per atom. The density of states at the Fermi level is 1.132 states/eV/atom.


Below is LiErSn2Se4 after structural relaxation, with properties calculated at the GGA-PBE level.

The space group is P2/m (No. 10) and the conventional cell measures 7.1166, 4.1622 and 7.3070 Å, with angles of 90.00, 108.63 and 90.00 degrees. Symmetry generates all atoms from Li at (0.0000, 0.0000, 0.0000), Er at (0.5000, 0.5000, 0.0000), Sn at (0.0000, 0.5000, 0.5000), Sn at (0.5000, 0.0000, 0.5000), Se at (0.2470, 0.5000, 0.2312) and Se at (0.2563, 0.0000, 0.7711).

The formation energy without anion corrections is -998.1 meV per atom.


Below is PrEuYTh after structural relaxation, with properties calculated at the GGA-PBE level.

The space group is F-43m (No. 216) and the conventional cell measures 8.2352, 8.2352 and 8.2352 Å, with angles of 90.00, 90.00 and 90.00 degrees. Symmetry generates all atoms from Pr at (0.0000, 0.0000, 0.0000), Eu at (0.0000, 0.0000, 0.5000), Y at (0.2500, 0.2500, 0.7500) and Th at (0.2500, 0.2500, 0.2500).

The energy relative to the elements is 0.99 eV/f.u. The density of states at the Fermi level is 1.796 states/eV/atom.


Below is ReMo4W after structural relaxation, with properties calculated at the GGA-PBE level.

The space group is P-1 (No. 2) and the conventional cell measures 3.1650, 5.2429 and 6.3061 Å, with angles of 72.14, 89.92 and 72.57 degrees. Symmetry generates all atoms from Re at (0.0000, 0.0000, 0.0000), Mo at (0.3322, 0.3349, 0.1669), Mo at (0.3346, 0.3316, 0.6672) and W at (0.0000, 0.0000, 0.5000).

The energy relative to the elements is 0.10 eV/f.u. As for the energy above the most stable polymorph in this dataset: 0 meV per atom. The density of states at the Fermi level is 0.819 states/eV/atom.